The following is a PBE calculation of an optimized crystal structure of Li11Ti24O48, from Alexandria via LeMat-Bulk.

Results
Final energy (eV/atom): -8.258
M_tot (μB/atom): 0.000

CIF file:
```
data_Li11Ti24O48
_chemical_formula_sum 'Li22 Ti48 O96'
_symmetry_space_group_name_H-M 'C 1 m 1'
_symmetry_Int_Tables_number 8
_cell_length_a 10.362
_cell_length_b 17.958
_cell_length_c 10.365
_cell_angle_alpha 90.00
_cell_angle_beta 109.45
_cell_angle_gamma 90.00
loop_
_symmetry_equiv_pos_as_xyz
'x,y,z'
'x,-y,z'
'x+1/2,y+1/2,z'
'x+1/2,-y+1/2,z'
loop_
_atom_site_label
_atom_site_fract_x
_atom_site_fract_y
_atom_site_fract_z
_atom_site_occupancy
Li1 0.000 0.000 0.000 1
Li2 0.000 0.165 0.497 1
Li3 0.124 0.167 0.873 1
Li4 0.124 0.333 0.373 1
Li5 0.124 0.500 0.873 1
Li6 0.496 0.000 0.497 1
Li7 0.499 0.167 0.998 1
Ti1 0.061 0.333 0.685 1
Ti2 0.061 0.500 0.184 1
Ti3 0.062 0.000 0.684 1
Ti4 0.062 0.166 0.186 1
Ti5 0.310 0.083 0.186 1
Ti6 0.310 0.083 0.684 1
Ti7 0.311 0.166 0.434 1
Ti8 0.311 0.250 0.184 1
Ti9 0.311 0.333 0.936 1
Ti10 0.311 0.417 0.686 1
Ti11 0.312 0.000 0.935 1
Ti12 0.312 0.500 0.434 1
Ti13 0.313 0.250 0.685 1
Ti14 0.313 0.417 0.186 1
O1 0.192 0.408 0.804 1
O2 0.192 0.425 0.304 1
O3 0.192 0.500 0.078 1
O4 0.193 0.075 0.805 1
O5 0.193 0.167 0.078 1
O6 0.193 0.242 0.303 1
O7 0.193 0.258 0.804 1
O8 0.193 0.333 0.579 1
O9 0.195 0.000 0.585 1
O10 0.195 0.095 0.302 1
O11 0.205 0.333 0.066 1
O12 0.205 0.500 0.567 1
O13 0.206 0.000 0.067 1
O14 0.206 0.167 0.567 1
O15 0.411 0.500 0.302 1
O16 0.417 0.334 0.804 1
O17 0.418 0.000 0.804 1
O18 0.418 0.167 0.303 1
O19 0.430 0.000 0.291 1
O20 0.430 0.075 0.066 1
O21 0.430 0.167 0.791 1
O22 0.430 0.258 0.066 1
O23 0.430 0.333 0.291 1
O24 0.430 0.408 0.066 1
O25 0.430 0.425 0.567 1
O26 0.430 0.500 0.792 1
O27 0.431 0.092 0.567 1
O28 0.431 0.242 0.566 1
```